No. 1
Compound: KPuBr3
Source: the Alexandria database
Functional: PBE
Structure: optimized geometry

Unit cell a=5.8523 b=5.8523 c=5.8523 alpha=90.00 beta=90.00 gamma=90.00
Sites, in units of the cell vectors:
1 K 0.0000 0.0000 0.0000
2 Pu 0.5000 0.5000 0.5000
3 Br 0.0000 0.5000 0.5000
4 Br 0.5000 0.0000 0.5000
5 Br 0.5000 0.5000 0.0000

Properties
Formation energy (no corrections), meV/atom: -1460
N(E_F), states/eV/atom: 3.2840
Energy above the lowest structure with this stoichiometry, eV/f.u.: 0.442
Total magnetic moment, μB per formula unit: 5.973

***

No. 2
Compound: ScIrS2
Source: the Alexandria database
Functional: PBE
Structure: optimized geometry

Unit cell a=7.8917 b=7.8917 c=7.8917 alpha=25.05 beta=25.05 gamma=25.05
Sites, in units of the cell vectors:
1 Sc 0.0000 0.0000 0.0000
2 Ir 0.5000 0.5000 0.5000
3 S 0.4014 0.4014 0.4014
4 S 0.5986 0.5986 0.5986

Properties
Formation energy (no corrections), meV/atom: -600
N(E_F), states/eV/atom: 0.7407
Energy above the lowest structure with this stoichiometry, eV/f.u.: 0.703
Total magnetic moment, μB per formula unit: 0.000

***

No. 3
Compound: K2LaBiSe4
Source: the Alexandria database
Functional: PBE
Structure: optimized geometry

Unit cell a=7.5766 b=4.3894 c=8.1230 alpha=90.00 beta=108.18 gamma=90.00
Sites, in units of the cell vectors:
1 K 0.0000 0.0000 0.0000
2 K 0.5000 0.5000 0.0000
3 La 0.0000 0.5000 0.5000
4 Bi 0.5000 0.0000 0.5000
5 Se 0.2407 0.0000 0.7124
6 Se 0.2661 0.5000 0.2879
7 Se 0.7339 0.5000 0.7121
8 Se 0.7593 0.0000 0.2876

Properties
Formation energy (no corrections), meV/atom: -1317
N(E_F), states/eV/atom: 0.0000
Total magnetic moment, μB per formula unit: 0.000